DFT (GGA-PBE) results for a relaxed structure of Tl4Hg2O.

Summary:
Uncorrected formation energy ... -0.964 eV per formula unit
Energy ... -32.0 eV/cell
Relative energy among the computed polymorphs ... 5.6 kJ/mol of atoms

Cell lengths 5.315, 5.315, 15.669 Å; angles 90.00, 90.00, 90.00 degrees
Space group I4/mmm (No. 139)
Symmetry-distinct sites (fractional):
Tl  0.000  0.000  0.154 (multiplicity 4)
Tl  0.000  0.500  0.000 (multiplicity 4)
Hg  0.000  0.000  0.364 (multiplicity 4)
O  0.000  0.000  0.000 (multiplicity 2)

***

DFT (GGA-PBE) results for a relaxed structure of Sb3Rh5.

Summary:
Uncorrected formation energy ... -2.686 eV per formula unit
Energy ... -207.2 eV/cell
Relative energy among the computed polymorphs ... 0.0 kJ/mol of atoms

Cell lengths 9.643, 8.284, 6.853 Å; angles 90.00, 90.00, 90.00 degrees
Space group Pnma (No. 62)
Symmetry-distinct sites (fractional):
Sb  0.028  0.250  0.075 (multiplicity 4)
Sb  0.184  0.518  0.454 (multiplicity 8)
Rh  0.011  0.250  0.472 (multiplicity 4)
Rh  0.062  0.039  0.796 (multiplicity 8)
Rh  0.184  0.750  0.182 (multiplicity 4)
Rh  0.233  0.750  0.767 (multiplicity 4)

***

DFT (GGA-PBE) results for a relaxed structure of Sr5CaBi4.

Summary:
Energy ... -67.3 eV/cell
Energy relative to the elements ... -771.8 meV per atom
Relative energy among the computed polymorphs ... 4.8 kJ/mol of atoms

Cell lengths 5.067, 11.337, 13.638 Å; angles 90.00, 90.00, 90.00 degrees
Space group Immm (No. 71)
Symmetry-distinct sites (fractional):
Sr  0.000  0.000  0.000 (multiplicity 2)
Sr  0.000  0.310  0.159 (multiplicity 8)
Ca  0.000  0.000  0.500 (multiplicity 2)
Bi  0.000  0.000  0.261 (multiplicity 4)
Bi  0.000  0.283  0.500 (multiplicity 4)

***

DFT (GGA-PBE) results for a relaxed structure of TaC3N.

Summary:
Uncorrected formation energy ... 12.124 eV per formula unit
Energy ... -35.7 eV/cell
Relative energy among the computed polymorphs ... 0.0 kJ/mol of atoms

Cell lengths 3.483, 3.483, 3.483 Å; angles 90.00, 90.00, 90.00 degrees
Space group Pm-3m (No. 221)
Symmetry-distinct sites (fractional):
Ta  0.000  0.000  0.000 (multiplicity 1)
C  0.000  0.500  0.500 (multiplicity 3)
N  0.500  0.500  0.500 (multiplicity 1)